The following is a PBE calculation of a relaxed structure of BeZnSi, from Alexandria via LeMat-Bulk.

The structure belongs to space group P-1 (No. 2); the cell edges are 2.681, 5.353 and 6.186 Å and the angles 115.43°, 90.09° and 90.00°. The distinct sites, in fractional coordinates, are Be at (0.000, 0.221, 0.000), Zn at (0.499, 0.843, 0.684) and Si at (0.499, 0.379, 0.756).

The formation energy from raw total energies is 64 kJ/mol of formula units.